Material: TbPrEuTh
Method: DFT, PBE-GGA
State: optimized geometry

```
data_TbPrEuTh
_cell_length_a 8.228
_cell_length_b 8.228
_cell_length_c 8.228
_cell_angle_alpha 90.00
_cell_angle_beta 90.00
_cell_angle_gamma 90.00
_symmetry_space_group_name_H-M 'F -4 3 m'
_symmetry_Int_Tables_number 216
_symmetry_space_group_name_Hall 'F -4 2 3'
loop_
_atom_site_label
_atom_site_type_symbol
_atom_site_fract_x
_atom_site_fract_y
_atom_site_fract_z
Tb1 Tb 0.000 0.000 0.000
Pr1 Pr 0.000 0.000 0.500
Eu1 Eu 0.250 0.250 0.750
Th1 Th 0.250 0.250 0.250
```

Summary:
The value obtained for the formation energy is 0.904 eV per formula unit.

=====

Material: TbPrEuY
Method: DFT, PBE-GGA
State: optimized geometry

```
data_TbPrEuY
_cell_length_a 8.240
_cell_length_b 8.240
_cell_length_c 8.240
_cell_angle_alpha 90.00
_cell_angle_beta 90.00
_cell_angle_gamma 90.00
_symmetry_space_group_name_H-M 'F -4 3 m'
_symmetry_Int_Tables_number 216
_symmetry_space_group_name_Hall 'F -4 2 3'
loop_
_atom_site_label
_atom_site_type_symbol
_atom_site_fract_x
_atom_site_fract_y
_atom_site_fract_z
Tb1 Tb 0.000 0.000 0.000
Pr1 Pr 0.250 0.250 0.750
Eu1 Eu 0.250 0.250 0.250
Y1 Y 0.000 0.000 0.500
```

Summary:
The value obtained for the formation energy is 0.577 eV per formula unit.

=====

Material: PrEuTc4
Method: DFT, PBE-GGA
State: optimized geometry

```
data_PrEuTc4
_cell_length_a 7.758
_cell_length_b 7.758
_cell_length_c 7.758
_cell_angle_alpha 90.00
_cell_angle_beta 90.00
_cell_angle_gamma 90.00
_symmetry_space_group_name_H-M 'F -4 3 m'
_symmetry_Int_Tables_number 216
_symmetry_space_group_name_Hall 'F -4 2 3'
loop_
_atom_site_label
_atom_site_type_symbol
_atom_site_fract_x
_atom_site_fract_y
_atom_site_fract_z
Pr1 Pr 0.000 0.000 0.000
Eu1 Eu 0.250 0.250 0.750
Tc1 Tc 0.125 0.125 0.375
```

Summary:
The value obtained for the formation energy is 0.989 eV per formula unit.

=====

Material: Pr2EuTc
Method: DFT, PBE-GGA
State: optimized geometry

```
data_Pr2EuTc
_cell_length_a 3.587
_cell_length_b 3.587
_cell_length_c 9.618
_cell_angle_alpha 90.00
_cell_angle_beta 90.00
_cell_angle_gamma 90.00
_symmetry_space_group_name_H-M 'P 4/m m m'
_symmetry_Int_Tables_number 123
_symmetry_space_group_name_Hall '-P 4 2'
loop_
_atom_site_label
_atom_site_type_symbol
_atom_site_fract_x
_atom_site_fract_y
_atom_site_fract_z
Pr1 Pr 0.000 0.000 0.178
Eu1 Eu 0.500 0.500 0.500
Tc1 Tc 0.500 0.500 0.000
```

Summary:
The value obtained for the formation energy is 0.520 eV per formula unit. The energy above the most stable polymorph in this dataset is 0.000 eV/f.u.

=====

Material: Pr2EuTc
Method: DFT, PBE-GGA
State: optimized geometry

```
data_Pr2EuTc
_cell_length_a 4.9543
_cell_length_b 4.9543
_cell_length_c 15.9988
_cell_angle_alpha 90.00
_cell_angle_beta 90.00
_cell_angle_gamma 120.00
_symmetry_space_group_name_H-M 'R -3 m'
_symmetry_Int_Tables_number 166
_symmetry_space_group_name_Hall '-R 3 2"'
loop_
_atom_site_label
_atom_site_type_symbol
_atom_site_fract_x
_atom_site_fract_y
_atom_site_fract_z
Pr1 Pr 0.0000 0.0000 0.2289
Eu1 Eu 0.0000 0.0000 0.0000
Tc1 Tc 0.0000 0.0000 0.5000
```

Summary:
The value obtained for the formation energy is 1.089 eV per formula unit. The energy above the most stable polymorph in this dataset is 0.569 eV/f.u.

=====

Material: Pr3EuTc
Method: DFT, PBE-GGA
State: optimized geometry

```
data_Pr3EuTc
_cell_length_a 5.629
_cell_length_b 5.629
_cell_length_c 5.629
_cell_angle_alpha 90.00
_cell_angle_beta 90.00
_cell_angle_gamma 90.00
_symmetry_space_group_name_H-M 'P m -3 m'
_symmetry_Int_Tables_number 221
_symmetry_space_group_name_Hall '-P 4 2 3'
loop_
_atom_site_label
_atom_site_type_symbol
_atom_site_fract_x
_atom_site_fract_y
_atom_site_fract_z
Pr1 Pr 0.000 0.000 0.500
Eu1 Eu 0.500 0.500 0.500
Tc1 Tc 0.000 0.000 0.000
```

Summary:
The value obtained for the formation energy is 0.629 eV per formula unit.

=====

Material: PrEuTe2
Method: DFT, PBE-GGA
State: optimized geometry

```
data_PrEuTe2
_cell_length_a 4.5370
_cell_length_b 4.5370
_cell_length_c 22.6546
_cell_angle_alpha 90.00
_cell_angle_beta 90.00
_cell_angle_gamma 120.00
_symmetry_space_group_name_H-M 'R -3 m'
_symmetry_Int_Tables_number 166
_symmetry_space_group_name_Hall '-R 3 2"'
loop_
_atom_site_label
_atom_site_type_symbol
_atom_site_fract_x
_atom_site_fract_y
_atom_site_fract_z
Pr1 Pr 0.0000 0.0000 0.0000
Eu1 Eu 0.0000 0.0000 0.5000
Te1 Te 0.0000 0.0000 0.2502
```

Summary:
Its energy relative to the elements, uncorrected is -6.25 eV/f.u. The energy above the most stable polymorph in this dataset is 0.000 eV/f.u.

=====

Material: PrEuTe2
Method: DFT, PBE-GGA
State: optimized geometry

```
data_PrEuTe2
_cell_length_a 5.578
_cell_length_b 5.578
_cell_length_c 3.935
_cell_angle_alpha 90.00
_cell_angle_beta 90.00
_cell_angle_gamma 90.00
_symmetry_space_group_name_H-M 'P 4/m m m'
_symmetry_Int_Tables_number 123
_symmetry_space_group_name_Hall '-P 4 2'
loop_
_atom_site_label
_atom_site_type_symbol
_atom_site_fract_x
_atom_site_fract_y
_atom_site_fract_z
Pr1 Pr 0.000 0.000 0.000
Eu1 Eu 0.500 0.500 0.000
Te1 Te 0.000 0.500 0.500
```

Summary:
Its energy relative to the elements, uncorrected is -5.49 eV/f.u. The energy above the most stable polymorph in this dataset is 0.765 eV/f.u.